The following is a PBE-GGA calculation of a relaxed structure of LaCuMo, from Alexandria via LeMat-Bulk.

Values from the calculation:
Its mass density is 6.827 g cm⁻³. Its space group is F-43m (216). The calculation puts the density of states at the Fermi level at 2.4 states/eV/f.u. As for the relative energy among the computed polymorphs: 880 meV per atom. Its magnetization is 2.52 μB/f.u.

Structure (POSCAR):
```
LaCuMo
1.0
-3.512 1.382 -2.771
0.112 -0.966 -4.580
-2.947 -3.163 -1.799
Mo La Cu
1 1 1
direct
0.000 0.000 0.000
0.750 0.750 0.750
0.500 0.500 0.500
```